Record 1
Pu3Hg2Pt3 | PBE | optimized geometry

Results
Raw total energy = -131.3 eV for the cell shown

Cell and atoms, written as POSCAR:
```
Pu3Hg2Pt3
1.0
-4.265 1.875 3.569
-2.090 -8.087 1.750
5.789 4.044 4.793
Pt Hg Pu
6 4 6
direct
0.250 0.000 0.374
0.750 0.000 0.626
0.250 0.626 0.626
0.250 0.374 0.000
0.750 0.626 0.000
0.750 0.374 0.374
0.000 0.667 0.333
0.500 0.333 0.667
0.000 0.333 0.667
0.500 0.667 0.333
0.250 0.000 0.719
0.250 0.281 0.281
0.750 0.000 0.281
0.750 0.719 0.719
0.250 0.719 0.000
0.750 0.281 0.000
```

---

Record 2
CaPaCu4 | PBE | optimized geometry

Results
Raw total energy = -27.3 eV for the cell shown

Cell and atoms, written as POSCAR:
```
CaPaCu4
1.0
5.254 0.000 0.000
2.627 4.550 0.000
2.627 1.517 4.290
Cu Pa Ca
4 1 1
direct
0.123 0.626 0.626
0.626 0.626 0.626
0.626 0.123 0.626
0.626 0.626 0.123
0.250 0.250 0.250
0.000 0.000 0.000
```

---

Record 3
NdB2C2 | PBE | optimized geometry

Results
Raw total energy = -77.3 eV for the cell shown

Cell and atoms, written as POSCAR:
```
NdB2C2
1.0
5.396 0.000 0.000
0.000 5.396 0.000
0.000 0.000 3.821
B C Nd
4 4 2
direct
0.138 0.638 0.500
0.362 0.138 0.500
0.862 0.362 0.500
0.638 0.862 0.500
0.839 0.661 0.500
0.339 0.839 0.500
0.661 0.161 0.500
0.161 0.339 0.500
0.500 0.500 0.000
0.000 0.000 0.000
```

---

Record 4
LiCr5Rh6 | PBE | optimized geometry

Results
Raw total energy = -94.9 eV for the cell shown

Cell and atoms, written as POSCAR:
```
LiCr5Rh6
1.0
-3.295 0.437 -2.073
5.029 -1.753 -4.663
-1.258 -5.232 4.598
Rh Li Cr
6 1 5
direct
0.728 0.228 0.228
0.761 0.594 0.928
0.239 0.406 0.072
0.761 0.928 0.594
0.239 0.072 0.406
0.272 0.772 0.772
0.000 0.000 0.000
0.000 0.349 0.651
0.500 0.819 0.181
0.000 0.651 0.349
0.500 0.500 0.500
0.500 0.181 0.819
```